A plane-wave DFT calculation with GGA-PBE was carried out for an optimized crystal structure of LiMnP2Au.

## Properties
raw total energy = -0.1835 Ha/atom
ΔE_f = 0.043 eV/atom
crystal system = tetragonal
SG = No. 123

Geometry as POSCAR:
```
LiMnP2Au
1.0
4.236 0.000 0.000
0.000 5.183 0.000
0.000 0.000 4.236
Li P Mn Au
1 2 1 1
Direct
0.500 0.500 0.500 Li
0.000 0.000 0.500 P
0.500 0.000 0.000 P
0.000 0.000 0.000 Mn
0.000 0.500 0.000 Au
```